Below is a relaxed AcTbNiGe crystal, with properties calculated at the PBE level.

```
4
Lattice="0.0000 3.6669 3.6669 3.6669 0.0000 3.6669 3.6669 3.6669 0.0000" Properties=species:S:1:pos:R:3 pbc="T T T"
Ac 0.0000 0.0000 0.0000
Tb 3.6669 3.6669 3.6669
Ni 5.5004 5.5004 5.5004
Ge 1.8335 1.8335 1.8335
```

Computed properties:
- formation energy (kJ per mole of atoms) = -36.4
- SG = F-43m, No. 216
- total magnetization (μB per formula unit) = 0.000